Below is Ac2MnGeO6 after structural relaxation, with properties calculated at the PBE with a Hubbard U level.

Geometry as POSCAR:
```
Ac2MnGeO6
1.0
5.687 0.000 0.000
0.000 5.687 0.000
0.000 0.000 4.060
Ac Mn Ge O
2 1 1 6
Direct
0.000 0.500 0.000
0.500 0.000 0.000
0.000 0.000 0.500
0.500 0.500 0.500
0.000 0.000 0.000
0.267 0.267 0.500
0.267 0.733 0.500
0.500 0.500 0.000
0.733 0.267 0.500
0.733 0.733 0.500
```

Total DFT energy (no corrections) ... -75.4 eV for the cell shown